{
  "formula": "Nd4Tm5Sc",
  "functional": "GGA-PBE",
  "state": "optimized geometry",
  "density_g_cm3": 7.4,
  "space_group": "No. 2",
  "e_tot_ev_per_atom": -4.5810,
  "relative_energy_mev_per_atom": 0,
  "cell": [[0.259, 1.880, -2.916], [-9.787, -4.024, -3.454], [-4.264, 5.436, 5.185]],
  "species": ["Nd", "Nd", "Nd", "Nd", "Tm", "Tm", "Tm", "Tm", "Tm", "Sc"],
  "fractional_positions": [[0.661, 0.253, 0.325], [0.971, 0.244, 0.941], [0.339, 0.747, 0.675], [0.029, 0.756, 0.059], [0.172, 0.551, 0.345], [0.169, 0.957, 0.339], [0.831, 0.043, 0.661], [0.500, 0.500, 0.000], [0.828, 0.449, 0.655], [0.500, 0.000, 0.000]]
}

{
  "formula": "Nd5Tm2Sc2",
  "functional": "GGA-PBE",
  "state": "optimized geometry",
  "density_g_cm3": 6.6,
  "space_group": "No. 46",
  "e_tot_ev_per_atom": -4.9363,
  "relative_energy_mev_per_atom": 85,
  "cell": [[-3.713, 2.342, -8.862], [-5.111, 0.215, 2.198], [5.750, 8.870, 5.453]],
  "species": ["Nd", "Nd", "Nd", "Nd", "Nd", "Nd", "Nd", "Nd", "Nd", "Nd", "Tm", "Tm", "Tm", "Tm", "Sc", "Sc", "Sc", "Sc"],
  "fractional_positions": [[0.030, 0.430, 0.783], [0.970, 0.647, 0.217], [0.253, 0.930, 0.783], [0.747, 0.147, 0.217], [0.283, 0.195, 0.316], [0.717, 0.879, 0.684], [0.533, 0.695, 0.316], [0.467, 0.379, 0.684], [0.297, 0.787, 0.500], [0.703, 0.287, 0.500], [0.000, 0.037, 0.000], [0.500, 0.537, 0.000], [0.084, 0.287, 0.500], [0.916, 0.787, 0.500], [0.209, 0.583, 0.093], [0.791, 0.491, 0.907], [0.384, 0.083, 0.093], [0.616, 0.991, 0.907]]
}

{
  "formula": "Nd2Tm4Sc3",
  "functional": "GGA-PBE",
  "state": "optimized geometry",
  "density_g_cm3": 7.0,
  "space_group": "No. 15",
  "e_tot_ev_per_atom": -5.0837,
  "cell": [[-2.684, 2.841, -5.446], [-0.062, -8.390, -4.353], [-7.576, -5.594, 0.809]],
  "species": ["Nd", "Nd", "Nd", "Nd", "Tm", "Tm", "Tm", "Tm", "Tm", "Tm", "Tm", "Tm", "Sc", "Sc", "Sc", "Sc", "Sc", "Sc"],
  "fractional_positions": [[0.499, 0.185, 0.458], [0.001, 0.542, 0.815], [0.501, 0.815, 0.542], [0.999, 0.458, 0.185], [0.500, 0.855, 0.185], [0.000, 0.815, 0.145], [0.500, 0.145, 0.815], [0.000, 0.185, 0.855], [0.999, 0.144, 0.544], [0.501, 0.456, 0.856], [0.001, 0.856, 0.456], [0.499, 0.544, 0.144], [0.750, 0.161, 0.162], [0.750, 0.838, 0.839], [0.250, 0.839, 0.838], [0.250, 0.162, 0.161], [0.250, 0.500, 0.500], [0.750, 0.500, 0.500]]
}

{
  "formula": "Nd2Tm3Sc3",
  "functional": "GGA-PBE",
  "state": "optimized geometry",
  "density_g_cm3": 6.5,
  "space_group": "No. 155",
  "e_tot_ev_per_atom": -5.0313,
  "cell": [[-1.098, -5.856, 1.708], [3.390, -2.358, -4.622], [4.885, 0.558, 3.773]],
  "species": ["Nd", "Nd", "Tm", "Tm", "Tm", "Sc", "Sc", "Sc"],
  "fractional_positions": [[0.244, 0.244, 0.756], [0.756, 0.756, 0.244], [0.261, 0.739, 0.500], [0.500, 0.261, 0.261], [0.739, 0.500, 0.739], [0.228, 0.772, 0.000], [0.000, 0.228, 0.228], [0.772, 0.000, 0.772]]
}

{
  "formula": "Nd2Tm5Sc",
  "functional": "GGA-PBE",
  "state": "optimized geometry",
  "density_g_cm3": 8.0,
  "space_group": "No. 139",
  "e_tot_ev_per_atom": -4.7346,
  "relative_energy_mev_per_atom": 4,
  "cell": [[4.877, 0.000, -0.946], [-0.183, 4.874, -0.946], [-0.492, -0.511, 10.509]],
  "species": ["Nd", "Nd", "Tm", "Tm", "Tm", "Tm", "Tm", "Sc"],
  "fractional_positions": [[0.750, 0.750, 0.500], [0.250, 0.250, 0.500], [0.500, 0.500, 0.000], [0.380, 0.880, 0.760], [0.880, 0.380, 0.760], [0.620, 0.120, 0.240], [0.120, 0.620, 0.240], [0.000, 0.000, 0.000]]
}

{
  "formula": "NdTm12Sc3",
  "functional": "GGA-PBE",
  "state": "optimized geometry",
  "density_g_cm3": 8.2,
  "space_group": "No. 123",
  "e_tot_ev_per_atom": -4.7966,
  "cell": [[4.891, 0.000, 0.000], [0.000, 4.891, 0.000], [0.000, 0.000, 19.558]],
  "species": ["Nd", "Tm", "Tm", "Tm", "Tm", "Tm", "Tm", "Tm", "Tm", "Tm", "Tm", "Tm", "Tm", "Sc", "Sc", "Sc"],
  "fractional_positions": [[0.000, 0.000, 0.000], [0.500, 0.500, 0.000], [0.500, 0.500, 0.254], [0.500, 0.500, 0.500], [0.500, 0.500, 0.746], [0.500, 0.000, 0.130], [0.500, 0.000, 0.377], [0.500, 0.000, 0.623], [0.500, 0.000, 0.870], [0.000, 0.500, 0.130], [0.000, 0.500, 0.377], [0.000, 0.500, 0.623], [0.000, 0.500, 0.870], [0.000, 0.000, 0.253], [0.000, 0.000, 0.500], [0.000, 0.000, 0.747]]
}

{
  "formula": "NdTm5Sc2",
  "functional": "GGA-PBE",
  "state": "optimized geometry",
  "density_g_cm3": 7.7,
  "space_group": "No. 107",
  "e_tot_ev_per_atom": -4.9277,
  "relative_energy_mev_per_atom": 15,
  "cell": [[6.879, 0.000, 0.000], [0.000, 6.879, 0.000], [-3.439, -3.439, 4.917]],
  "species": ["Nd", "Tm", "Tm", "Tm", "Tm", "Tm", "Sc", "Sc"],
  "fractional_positions": [[0.222, 0.222, 0.444], [0.722, 0.222, 0.944], [0.222, 0.222, 0.944], [0.722, 0.722, 0.944], [0.222, 0.722, 0.944], [0.722, 0.722, 0.445], [0.222, 0.722, 0.444], [0.722, 0.222, 0.444]]
}

{
  "formula": "Nd2Tm4Sc",
  "functional": "GGA-PBE",
  "state": "optimized geometry",
  "density_g_cm3": 6.9,
  "space_group": "No. 139",
  "e_tot_ev_per_atom": -4.2673,
  "relative_energy_mev_per_atom": 362,
  "cell": [[5.311, 0.000, 0.000], [0.000, 5.311, 0.000], [-2.656, -2.656, 8.600]],
  "species": ["Nd", "Nd", "Tm", "Tm", "Tm", "Tm", "Sc"],
  "fractional_positions": [[0.627, 0.627, 0.255], [0.373, 0.373, 0.745], [0.827, 0.827, 0.655], [0.173, 0.173, 0.345], [0.000, 0.500, 0.000], [0.500, 0.000, 0.000], [0.000, 0.000, 0.000]]
}

{
  "formula": "Nd2Tm3Sc",
  "functional": "GGA-PBE",
  "state": "optimized geometry",
  "density_g_cm3": 7.6,
  "space_group": "No. 65",
  "e_tot_ev_per_atom": -4.8391,
  "relative_energy_mev_per_atom": 0,
  "cell": [[4.703, 0.000, -1.556], [-1.573, 8.661, -4.752], [0.460, -0.605, 9.274]],
  "species": ["Nd", "Nd", "Nd", "Nd", "Tm", "Tm", "Tm", "Tm", "Tm", "Tm", "Sc", "Sc"],
  "fractional_positions": [[0.662, 0.662, 0.323], [0.339, 0.838, 0.677], [0.661, 0.162, 0.323], [0.338, 0.338, 0.677], [0.500, 0.250, 0.000], [0.500, 0.750, 0.000], [0.164, 0.414, 0.329], [0.836, 0.086, 0.671], [0.836, 0.586, 0.671], [0.164, 0.914, 0.329], [0.000, 0.500, 0.000], [0.000, 0.000, 0.000]]
}

{
  "formula": "Nd2Tm2Sc3",
  "functional": "GGA-PBE",
  "state": "optimized geometry",
  "density_g_cm3": 6.2,
  "space_group": "No. 14",
  "e_tot_ev_per_atom": -5.1862,
  "relative_energy_mev_per_atom": 0,
  "cell": [[6.600, 0.000, 0.000], [0.000, 9.718, -1.521], [0.000, 0.571, 6.293]],
  "species": ["Nd", "Nd", "Nd", "Nd", "Tm", "Tm", "Tm", "Tm", "Sc", "Sc", "Sc", "Sc", "Sc", "Sc"],
  "fractional_positions": [[0.226, 0.178, 0.601], [0.726, 0.322, 0.899], [0.274, 0.678, 0.101], [0.774, 0.822, 0.399], [0.747, 0.700, 0.880], [0.753, 0.200, 0.380], [0.247, 0.800, 0.620], [0.253, 0.300, 0.120], [0.500, 0.500, 0.500], [0.000, 0.000, 0.000], [0.089, 0.489, 0.715], [0.589, 0.011, 0.785], [0.411, 0.989, 0.215], [0.911, 0.511, 0.285]]
}

{
  "formula": "NdTmSc3",
  "functional": "GGA-PBE",
  "state": "optimized geometry",
  "density_g_cm3": 5.4,
  "space_group": "No. 11",
  "e_tot_ev_per_atom": -5.6076,
  "relative_energy_mev_per_atom": 0,
  "cell": [[5.405, 0.000, 0.000], [0.000, 5.823, 1.111], [0.000, 1.345, 9.050]],
  "species": ["Nd", "Nd", "Tm", "Tm", "Sc", "Sc", "Sc", "Sc", "Sc", "Sc"],
  "fractional_positions": [[0.250, 0.964, 0.896], [0.750, 0.036, 0.104], [0.750, 0.241, 0.687], [0.250, 0.759, 0.313], [0.250, 0.371, 0.105], [0.750, 0.629, 0.895], [0.750, 0.833, 0.506], [0.250, 0.167, 0.494], [0.250, 0.572, 0.698], [0.750, 0.428, 0.302]]
}

{
  "formula": "NdTm9Sc2",
  "functional": "GGA-PBE",
  "state": "optimized geometry",
  "density_g_cm3": 8.2,
  "space_group": "No. 191",
  "e_tot_ev_per_atom": -4.7723,
  "relative_energy_mev_per_atom": 0,
  "cell": [[-3.368, 0.267, 0.657], [-2.177, -1.285, -10.638], [0.587, -8.733, 6.554]],
  "species": ["Nd", "Tm", "Tm", "Tm", "Tm", "Tm", "Tm", "Tm", "Tm", "Tm", "Sc", "Sc"],
  "fractional_positions": [[0.000, 0.000, 0.000], [0.000, 0.000, 0.500], [0.000, 0.500, 0.500], [0.000, 0.500, 0.000], [0.500, 0.362, 0.181], [0.500, 0.181, 0.819], [0.500, 0.181, 0.362], [0.500, 0.819, 0.638], [0.500, 0.819, 0.181], [0.500, 0.638, 0.819], [0.000, 0.333, 0.667], [0.000, 0.667, 0.333]]
}

{
  "formula": "NdTmSc2",
  "functional": "GGA-PBE",
  "state": "optimized geometry",
  "density_g_cm3": 5.9,
  "space_group": "No. 160",
  "e_tot_ev_per_atom": -5.4010,
  "relative_energy_mev_per_atom": 20,
  "cell": [[3.452, 0.000, 0.000], [1.726, 2.990, 0.000], [1.726, 0.997, 11.008]],
  "species": ["Nd", "Tm", "Sc", "Sc"],
  "fractional_positions": [[0.501, 0.501, 0.498], [0.666, 0.666, 0.001], [0.081, 0.081, 0.757], [0.252, 0.252, 0.244]]
}

{
  "formula": "Nd5Tm4Sc4",
  "functional": "GGA-PBE",
  "state": "optimized geometry",
  "density_g_cm3": 6.7,
  "space_group": "No. 87",
  "e_tot_ev_per_atom": -5.1054,
  "cell": [[-4.376, -0.298, -2.258], [1.896, -2.231, -8.769], [-2.680, -8.795, 0.965]],
  "species": ["Nd", "Nd", "Nd", "Nd", "Nd", "Tm", "Tm", "Tm", "Tm", "Sc", "Sc", "Sc", "Sc"],
  "fractional_positions": [[0.696, 0.847, 0.762], [0.304, 0.153, 0.238], [0.000, 0.000, 0.000], [0.543, 0.762, 0.153], [0.457, 0.238, 0.847], [0.923, 0.462, 0.693], [0.616, 0.307, 0.462], [0.077, 0.538, 0.307], [0.384, 0.693, 0.538], [0.766, 0.390, 0.078], [0.234, 0.610, 0.922], [0.844, 0.922, 0.390], [0.156, 0.078, 0.610]]
}

{
  "formula": "Nd6Tm8Sc",
  "functional": "GGA-PBE",
  "state": "optimized geometry",
  "density_g_cm3": 7.8,
  "space_group": "No. 148",
  "e_tot_ev_per_atom": -4.5976,
  "cell": [[7.766, 0.135, 3.775], [2.418, 7.381, 3.775], [0.182, 0.135, 8.633]],
  "species": ["Nd", "Nd", "Nd", "Nd", "Nd", "Nd", "Tm", "Tm", "Tm", "Tm", "Tm", "Tm", "Tm", "Tm", "Sc"],
  "fractional_positions": [[0.898, 0.459, 0.775], [0.225, 0.102, 0.541], [0.541, 0.225, 0.102], [0.459, 0.775, 0.898], [0.775, 0.898, 0.459], [0.102, 0.541, 0.225], [0.111, 0.716, 0.753], [0.247, 0.889, 0.284], [0.284, 0.247, 0.889], [0.577, 0.577, 0.577], [0.423, 0.423, 0.423], [0.716, 0.753, 0.111], [0.753, 0.111, 0.716], [0.889, 0.284, 0.247], [0.000, 0.000, 0.000]]
}

{
  "formula": "Nd2Tm8Sc",
  "functional": "GGA-PBE",
  "state": "optimized geometry",
  "density_g_cm3": 8.0,
  "space_group": "No. 12",
  "e_tot_ev_per_atom": -4.5002,
  "relative_energy_mev_per_atom": 159,
  "cell": [[5.553, -0.430, -0.301], [0.525, 9.495, 2.451], [0.525, 5.569, 8.072]],
  "species": ["Nd", "Nd", "Tm", "Tm", "Tm", "Tm", "Tm", "Tm", "Tm", "Tm", "Sc"],
  "fractional_positions": [[0.747, 0.282, 0.282], [0.253, 0.718, 0.718], [0.262, 0.138, 0.610], [0.262, 0.610, 0.138], [0.738, 0.862, 0.390], [0.234, 0.547, 0.547], [0.738, 0.390, 0.862], [0.235, 0.179, 0.179], [0.765, 0.821, 0.821], [0.766, 0.453, 0.453], [0.000, 0.000, 0.000]]
}

{
  "formula": "Nd6TmSc2",
  "functional": "GGA-PBE",
  "state": "optimized geometry",
  "density_g_cm3": 6.4,
  "space_group": "No. 15",
  "e_tot_ev_per_atom": -4.9504,
  "relative_energy_mev_per_atom": 0,
  "cell": [[-5.262, 3.453, -2.270], [-2.096, -4.757, -7.977], [-7.218, -4.519, 4.258]],
  "species": ["Nd", "Nd", "Nd", "Nd", "Nd", "Nd", "Nd", "Nd", "Nd", "Nd", "Nd", "Nd", "Tm", "Tm", "Sc", "Sc", "Sc", "Sc"],
  "fractional_positions": [[0.504, 0.612, 0.331], [0.996, 0.669, 0.388], [0.496, 0.388, 0.669], [0.004, 0.331, 0.612], [0.727, 0.050, 0.464], [0.773, 0.536, 0.950], [0.273, 0.950, 0.536], [0.227, 0.464, 0.050], [0.315, 0.788, 0.977], [0.185, 0.023, 0.212], [0.685, 0.212, 0.023], [0.815, 0.977, 0.788], [0.250, 0.137, 0.863], [0.750, 0.863, 0.137], [0.125, 0.663, 0.714], [0.375, 0.286, 0.337], [0.875, 0.337, 0.286], [0.625, 0.714, 0.663]]
}

{
  "formula": "NdTm5Sc5",
  "functional": "GGA-PBE",
  "state": "optimized geometry",
  "density_g_cm3": 6.2,
  "space_group": "No. 187",
  "e_tot_ev_per_atom": -5.0998,
  "cell": [[-4.876, -2.588, 1.679], [5.006, -2.861, 0.213], [1.655, 3.674, 10.465]],
  "species": ["Nd", "Tm", "Tm", "Tm", "Tm", "Tm", "Sc", "Sc", "Sc", "Sc", "Sc"],
  "fractional_positions": [[0.333, 0.667, 0.000], [0.667, 0.333, 0.163], [0.667, 0.333, 0.837], [0.333, 0.667, 0.325], [0.333, 0.667, 0.675], [0.000, 0.000, 0.000], [0.330, 0.165, 0.500], [0.000, 0.000, 0.268], [0.835, 0.670, 0.500], [0.835, 0.165, 0.500], [0.000, 0.000, 0.732]]
}

{
  "formula": "NdTm9Sc2",
  "functional": "GGA-PBE",
  "state": "optimized geometry",
  "density_g_cm3": 8.2,
  "space_group": "No. 123",
  "e_tot_ev_per_atom": -4.7642,
  "relative_energy_mev_per_atom": 8,
  "cell": [[-3.030, -3.851, -0.252], [0.254, 0.121, -4.899], [11.541, -9.107, 0.373]],
  "species": ["Nd", "Tm", "Tm", "Tm", "Tm", "Tm", "Tm", "Tm", "Tm", "Tm", "Sc", "Sc"],
  "fractional_positions": [[0.000, 0.000, 0.000], [0.500, 0.500, 0.000], [0.500, 0.500, 0.337], [0.500, 0.500, 0.663], [0.500, 0.000, 0.173], [0.500, 0.000, 0.500], [0.500, 0.000, 0.827], [0.000, 0.500, 0.173], [0.000, 0.500, 0.500], [0.000, 0.500, 0.827], [0.000, 0.000, 0.336], [0.000, 0.000, 0.664]]
}

{
  "formula": "Nd2TmSc6",
  "functional": "GGA-PBE",
  "state": "optimized geometry",
  "density_g_cm3": 4.9,
  "space_group": "No. 191",
  "e_tot_ev_per_atom": -5.7035,
  "cell": [[-1.506, -0.987, -2.767], [7.803, -4.174, -2.761], [1.585, -8.842, 2.287]],
  "species": ["Nd", "Nd", "Tm", "Sc", "Sc", "Sc", "Sc", "Sc", "Sc"],
  "fractional_positions": [[0.000, 0.333, 0.333], [0.000, 0.667, 0.667], [0.000, 0.000, 0.000], [0.499, 0.000, 0.330], [0.501, 0.000, 0.670], [0.501, 0.670, 0.000], [0.500, 0.330, 0.670], [0.500, 0.670, 0.330], [0.499, 0.330, 0.000]]
}

{
  "formula": "NdTm2Sc",
  "functional": "GGA-PBE",
  "state": "optimized geometry",
  "density_g_cm3": 7.3,
  "space_group": "No. 44",
  "e_tot_ev_per_atom": -4.9860,
  "relative_energy_mev_per_atom": 0,
  "cell": [[3.413, 0.020, 1.017], [0.811, 5.565, 3.400], [-0.099, 0.434, 6.557]],
  "species": ["Nd", "Tm", "Tm", "Sc"],
  "fractional_positions": [[0.250, 0.176, 0.324], [0.007, 0.070, 0.915], [0.493, 0.585, 0.430], [0.750, 0.668, 0.832]]
}

no.,E_form (eV/atom)
1,0.195
2,0.113
3,0.074
4,0.212
5,0.043
6,0.042
7,0.046
8,0.555
9,0.041
10,0.167
11,0.039
12,0.034
13,0.075
14,0.052
15,0.116
16,0.194
17,0.132
18,0.244
19,0.042
20,0.074
21,0.025